# Ca2Ga5Pt3

Crystalline Ca2Ga5Pt3 at its relaxed geometry (PBE-GGA, Alexandria).

Cell and atoms, written as POSCAR:
```
Ca2Ga5Pt3
1.0
2.1880 -12.4458 0.0000
2.1880 12.4458 0.0000
0.0000 0.0000 6.8619
Ca Ga Pt
4 10 6
Direct
0.0174 0.9826 0.5000
0.3241 0.6759 0.4598
0.6759 0.3241 0.9598
0.9826 0.0174 0.0000
0.1038 0.8962 0.1505
0.2066 0.7934 0.6513
0.2082 0.7918 0.2487
0.3764 0.6236 0.0019
0.4484 0.5516 0.3245
0.5516 0.4484 0.8245
0.6236 0.3764 0.5019
0.7918 0.2082 0.7487
0.7934 0.2066 0.1513
0.8962 0.1038 0.6505
0.1072 0.8928 0.7582
0.2737 0.7263 0.9470
0.4470 0.5530 0.7147
0.5530 0.4470 0.2147
0.7263 0.2737 0.4470
0.8928 0.1072 0.2582
```

Values from the calculation:
Space group: Cmc2_1, No. 36
Total DFT energy (no corrections) (Ry/atom): -0.33081
Formation energy from the elements (meV per atom): -775



# CaGa12Pt6

Crystalline CaGa12Pt6 at its relaxed geometry (PBE-GGA, Alexandria).

Cell and atoms, written as POSCAR:
```
CaGa12Pt6
1.0
5.7388 3.3133 2.9318
-5.7388 3.3133 2.9318
0.0000 -6.6266 2.9318
Ca Ga Pt
1 12 6
Direct
0.0000 0.0000 0.0000
0.1119 0.5000 0.8881
0.1119 0.8881 0.5000
0.1417 0.3951 0.3951
0.3951 0.1417 0.3951
0.3951 0.3951 0.1417
0.5000 0.1119 0.8881
0.5000 0.8881 0.1119
0.6049 0.6049 0.8583
0.6049 0.8583 0.6049
0.8583 0.6049 0.6049
0.8881 0.1119 0.5000
0.8881 0.5000 0.1119
0.2840 0.2840 0.7121
0.2840 0.7121 0.2840
0.2879 0.7160 0.7160
0.7121 0.2840 0.2840
0.7160 0.2879 0.7160
0.7160 0.7160 0.2879
```

Values from the calculation:
Space group: R-3m, No. 166
Total DFT energy (no corrections) (Ry/atom): -0.33074
Formation energy from the elements (meV per atom): -575



# CaGaPt2

Crystalline CaGaPt2 at its relaxed geometry (PBE-GGA, Alexandria).

Cell and atoms, written as POSCAR:
```
CaGaPt2
1.0
4.0038 0.0000 0.0000
0.0000 4.0038 0.0000
0.0000 0.0000 9.8655
Ca Ga Pt
2 2 4
Direct
0.2500 0.2500 0.2040
0.7500 0.7500 0.7960
0.2500 0.2500 0.6588
0.7500 0.7500 0.3412
0.2500 0.2500 0.9073
0.2500 0.7500 0.5000
0.7500 0.2500 0.5000
0.7500 0.7500 0.0927
```

Values from the calculation:
Space group: P4/nmm, No. 129
Total DFT energy (no corrections) (Ry/atom): -0.36870
Formation energy from the elements (meV per atom): -739



Number 1: V 374 Å³ per cell. Number 2: V 334 Å³ per cell. Number 3: V 158 Å³ per cell.